## i
Ba3SnPt | Alexandria | PBE-GGA | optimized geometry; volume = 407.0 Å³ per cell; space group = Pm; magnetization = 0.00 μB/f.u.
1.0
8.221 0.000 0.000
0.000 5.854 0.000
-1.665 0.000 8.458
Ba Sn Pt
6 2 2
direct
0.000 0.000 0.000
0.013 0.500 0.339
0.280 0.000 0.597
0.456 0.000 0.145
0.542 0.500 0.837
0.767 0.000 0.554
0.062 0.500 0.767
0.462 0.500 0.375
0.243 0.500 0.074
0.623 0.000 0.853

## ii
Ba3SnPt | Alexandria | PBE-GGA | optimized geometry; volume = 223.5 Å³ per cell; space group = Pm-3m; magnetization = 0.00 μB/f.u.
1.0
6.068 0.000 0.000
0.000 6.068 0.000
0.000 0.000 6.068
Ba Sn Pt
3 1 1
direct
0.000 0.000 0.500
0.000 0.500 0.000
0.500 0.000 0.000
0.500 0.500 0.500
0.000 0.000 0.000

What should be chosen as the least stable of them? Choose ii.

## i
BaSr2Pt | Alexandria | PBE-GGA | optimized geometry; volume = 173.7 Å³ per cell; space group = Cm; magnetization = 0.00 μB/f.u.
1.0
6.741 -2.086 0.000
6.741 2.086 0.000
-3.847 0.000 6.176
Ba Sr Pt
1 2 1
direct
0.000 0.000 0.000
0.172 0.172 0.654
0.348 0.348 0.351
0.680 0.680 0.360

## ii
BaSr2Pt | Alexandria | PBE-GGA | optimized geometry; volume = 150.3 Å³ per cell; space group = C2/m; magnetization = 0.00 μB/f.u.
1.0
3.465 -6.211 0.000
3.465 6.211 0.000
-2.752 0.000 3.492
Ba Sr Pt
1 2 1
direct
0.000 0.000 0.000
0.000 0.500 0.500
0.500 0.000 0.500
0.500 0.500 0.000

## iii
BaSr2Pt | Alexandria | PBE-GGA | optimized geometry; volume = 192.0 Å³ per cell; space group = Amm2; magnetization = 0.00 μB/f.u.
1.0
4.467 0.000 0.000
0.000 3.069 7.002
0.000 -3.069 7.002
Ba Sr Pt
1 2 1
direct
0.000 0.000 0.000
0.000 0.294 0.294
0.500 0.656 0.656
0.500 0.153 0.153

What should be chosen as the least stable of them? Choose ii.

## i
Ba2SrPt | Alexandria | PBE-GGA | optimized geometry; volume = 173.1 Å³ per cell; space group = Immm; magnetization = 0.00 μB/f.u.
1.0
-1.967 2.620 8.394
1.967 -2.620 8.394
1.967 2.620 -8.394
Ba Sr Pt
2 1 1
direct
0.157 0.157 0.000
0.843 0.843 0.000
0.500 0.000 0.500
0.000 0.500 0.500

## ii
Ba2SrPt | Alexandria | PBE-GGA | optimized geometry; volume = 147.3 Å³ per cell; space group = Pmmm; magnetization = 0.00 μB/f.u.
1.0
5.047 0.000 0.000
0.000 5.105 0.000
0.000 0.000 5.716
Ba Sr Pt
2 1 1
direct
0.000 0.000 0.000
0.000 0.500 0.500
0.500 0.000 0.500
0.500 0.500 0.000

What should be chosen as the least stable of them? Choose ii.

## i
Ba2SrPt | Alexandria | PBE-GGA | optimized geometry; volume = 138.8 Å³ per cell; space group = F-43m; magnetization = 0.00 μB/f.u.
1.0
0.000 4.110 4.110
4.110 0.000 4.110
4.110 4.110 0.000
Ba Sr Pt
2 1 1
direct
0.000 0.000 0.000
0.250 0.250 0.250
0.500 0.500 0.500
0.750 0.750 0.750

## ii
Ba2SrPt | Alexandria | PBE-GGA | optimized geometry; volume = 171.6 Å³ per cell; space group = Imm2; magnetization = 0.00 μB/f.u.
1.0
-2.031 3.111 6.790
2.031 -3.111 6.790
2.031 3.111 -6.790
Ba Sr Pt
2 1 1
direct
0.000 0.000 0.000
0.672 0.172 0.500
0.341 0.341 0.000
0.176 0.676 0.500

## iii
Ba2SrPt | Alexandria | PBE-GGA | optimized geometry; volume = 203.5 Å³ per cell; space group = Cmmm; magnetization = 0.00 μB/f.u.
1.0
3.080 -7.255 0.000
3.080 7.255 0.000
0.000 0.000 4.554
Ba Sr Pt
2 1 1
direct
0.145 0.855 0.000
0.855 0.145 0.000
0.500 0.500 0.500
0.000 0.000 0.500

What should be chosen as the least stable of them? Choose i.

## i
Ba2SrPt | Alexandria | PBE-GGA | optimized geometry; volume = 149.4 Å³ per cell; space group = I-4m2; magnetization = 0.00 μB/f.u.
1.0
-2.487 2.487 6.037
2.487 -2.487 6.037
2.487 2.487 -6.037
Ba Sr Pt
2 1 1
direct
0.000 0.000 0.000
0.750 0.250 0.500
0.500 0.500 0.000
0.250 0.750 0.500

## ii
Ba2SrPt | Alexandria | PBE-GGA | optimized geometry; volume = 389.2 Å³ per cell; space group = I-42d; magnetization = 0.00 μB/f.u.
1.0
-5.625 5.625 3.075
5.625 -5.625 3.075
5.625 5.625 -3.075
Ba Sr Pt
4 2 2
direct
0.375 0.240 0.365
0.760 0.125 0.135
0.875 0.010 0.635
0.990 0.625 0.865
0.250 0.750 0.500
0.500 0.500 0.000
0.000 0.000 0.000
0.750 0.250 0.500

What should be chosen as the least stable of them? Choose i.

## i
Ba2SrPt | Alexandria | PBE-GGA | optimized geometry; volume = 184.2 Å³ per cell; space group = Cm; magnetization = 0.00 μB/f.u.
1.0
6.961 -2.097 0.000
6.961 2.097 0.000
-3.835 0.000 6.311
Ba Sr Pt
2 1 1
direct
0.000 0.000 0.000
0.169 0.169 0.651
0.341 0.341 0.344
0.676 0.676 0.339

## ii
Ba2SrPt | Alexandria | PBE-GGA | optimized geometry; volume = 198.8 Å³ per cell; space group = Amm2; magnetization = 0.00 μB/f.u.
1.0
4.518 0.000 0.000
0.000 3.237 6.797
0.000 -3.237 6.797
Ba Sr Pt
2 1 1
direct
0.000 0.000 0.000
0.500 0.344 0.344
0.500 0.645 0.645
0.000 0.500 0.500

## iii
Ba2SrPt | Alexandria | PBE-GGA | optimized geometry; volume = 197.8 Å³ per cell; space group = R-3m; magnetization = 0.00 μB/f.u.
1.0
2.265 1.308 11.134
-2.265 1.308 11.134
0.000 -2.615 11.134
Ba Sr Pt
2 1 1
direct
0.219 0.219 0.219
0.781 0.781 0.781
0.000 0.000 0.000
0.500 0.500 0.500

## iv
Ba2SrPt | Alexandria | PBE-GGA | optimized geometry; volume = 172.9 Å³ per cell; space group = P4/mmm; magnetization = 0.00 μB/f.u.
1.0
3.998 0.000 0.000
0.000 3.998 0.000
0.000 0.000 10.813
Ba Sr Pt
2 1 1
direct
0.000 0.000 0.167
0.000 0.000 0.833
0.500 0.500 0.500
0.500 0.500 0.000

What should be chosen as the least stable of them? Choose iv.

## i
Ba2SrPt | Alexandria | PBE-GGA | optimized geometry; volume = 143.5 Å³ per cell; space group = Fm-3m; magnetization = 0.00 μB/f.u.
1.0
0.000 4.155 4.155
4.155 0.000 4.155
4.155 4.155 0.000
Ba Sr Pt
2 1 1
direct
0.250 0.250 0.250
0.750 0.750 0.750
0.000 0.000 0.000
0.500 0.500 0.500

## ii
Ba2SrPt | Alexandria | PBE-GGA | optimized geometry; volume = 775.7 Å³ per cell; space group = Pnna; magnetization = 0.00 μB/f.u.
1.0
7.933 0.000 0.000
0.000 7.361 0.000
0.000 0.000 13.283
Ba Sr Pt
8 4 4
direct
0.079 0.233 0.080
0.079 0.267 0.420
0.421 0.733 0.420
0.421 0.767 0.080
0.579 0.233 0.920
0.579 0.267 0.580
0.921 0.733 0.580
0.921 0.767 0.920
0.102 0.250 0.750
0.398 0.750 0.750
0.602 0.250 0.250
0.898 0.750 0.250
0.250 0.000 0.909
0.250 0.500 0.591
0.750 0.000 0.091
0.750 0.500 0.409

What should be chosen as the least stable of them? Choose i.

## i
Ba2SrPt | Alexandria | PBE-GGA | optimized geometry; volume = 144.6 Å³ per cell; space group = I4/mmm; magnetization = 0.00 μB/f.u.
1.0
-2.479 2.479 5.882
2.479 -2.479 5.882
2.479 2.479 -5.882
Ba Sr Pt
2 1 1
direct
0.250 0.750 0.500
0.750 0.250 0.500
0.000 0.000 0.000
0.500 0.500 0.000

## ii
Ba2SrPt | Alexandria | PBE-GGA | optimized geometry; volume = 169.6 Å³ per cell; space group = P4mm; magnetization = 0.00 μB/f.u.
1.0
3.953 0.000 0.000
0.000 3.953 0.000
0.000 0.000 10.855
Ba Sr Pt
2 1 1
direct
0.000 0.000 0.000
0.500 0.500 0.350
0.500 0.500 0.675
0.000 0.000 0.520

## iii
Ba2SrPt | Alexandria | PBE-GGA | optimized geometry; volume = 343.9 Å³ per cell; space group = Cmcm; magnetization = 0.00 μB/f.u.
1.0
2.210 -7.301 0.000
2.210 7.301 0.000
0.000 0.000 10.657
Ba Sr Pt
4 2 2
direct
0.148 0.852 0.571
0.148 0.852 0.929
0.852 0.148 0.071
0.852 0.148 0.429
0.406 0.594 0.750
0.594 0.406 0.250
0.239 0.761 0.250
0.761 0.239 0.750

What should be chosen as the least stable of them? Choose i.

## i
BaSrPt2 | Alexandria | PBE-GGA | optimized geometry; volume = 98.9 Å³ per cell; space group = F-43m; magnetization = 0.00 μB/f.u.
1.0
0.000 3.671 3.671
3.671 0.000 3.671
3.671 3.671 0.000
Ba Sr Pt
1 1 2
direct
0.000 0.000 0.000
0.250 0.250 0.250
0.500 0.500 0.500
0.750 0.750 0.750

## ii
BaSrPt2 | Alexandria | PBE-GGA | optimized geometry; volume = 254.7 Å³ per cell; space group = I-42d; magnetization = 0.00 μB/f.u.
1.0
-4.020 4.020 3.941
4.020 -4.020 3.941
4.020 4.020 -3.941
Ba Sr Pt
2 2 4
direct
0.000 0.000 0.000
0.750 0.250 0.500
0.250 0.750 0.500
0.500 0.500 0.000
0.136 0.625 0.011
0.375 0.386 0.511
0.614 0.125 0.989
0.875 0.864 0.489

## iii
BaSrPt2 | Alexandria | PBE-GGA | optimized geometry; volume = 108.4 Å³ per cell; space group = Fm-3m; magnetization = 0.00 μB/f.u.
1.0
0.000 3.784 3.784
3.784 0.000 3.784
3.784 3.784 0.000
Ba Sr Pt
1 1 2
direct
0.000 0.000 0.000
0.500 0.500 0.500
0.250 0.250 0.250
0.750 0.750 0.750

What should be chosen as the least stable of them? Choose i.

## i
BaSrPt2 | Alexandria | PBE-GGA | optimized geometry; volume = 126.5 Å³ per cell; space group = P4/mmm; magnetization = 0.00 μB/f.u.
1.0
4.471 0.000 0.000
0.000 4.471 0.000
0.000 0.000 6.327
Ba Sr Pt
1 1 2
direct
0.000 0.000 0.000
0.500 0.500 0.500
0.000 0.000 0.500
0.500 0.500 0.000

## ii
BaSrPt2 | Alexandria | PBE-GGA | optimized geometry; volume = 115.4 Å³ per cell; space group = Amm2; magnetization = 0.00 μB/f.u.
1.0
4.589 0.000 0.000
0.000 2.189 5.746
0.000 -2.189 5.746
Ba Sr Pt
1 1 2
direct
0.000 0.000 0.000
0.500 0.281 0.281
0.000 0.716 0.716
0.500 0.577 0.577

## iii
BaSrPt2 | Alexandria | PBE-GGA | optimized geometry; volume = 125.5 Å³ per cell; space group = R-3m; magnetization = 0.00 μB/f.u.
1.0
2.240 1.293 7.220
-2.240 1.293 7.220
0.000 -2.586 7.220
Ba Sr Pt
1 1 2
direct
0.000 0.000 0.000
0.500 0.500 0.500
0.246 0.246 0.246
0.754 0.754 0.754

What should be chosen as the least stable of them? Choose i.